No. 1
# AlCu

A relaxed AlCu crystal (PBEsol, Alexandria).

POSCAR file:
```
AlCu
1.0
2.7513 0.0000 0.0000
-1.3756 2.3827 0.0000
0.0000 0.0000 4.0311
Al Cu
1 1
Direct
0.0000 0.0000 0.0000
0.3333 0.6667 0.5000
```

Mass density = 5.7 g/cm3
M_tot = 0.00 μB per formula unit
Formation energy from the elements = -0.126 eV per atom

=====

No. 2
# CaNbF2

A relaxed CaNbF2 crystal (PBEsol, Alexandria).

POSCAR file:
```
CaNbF2
1.0
1.7100 0.9872 6.3032
-1.7100 0.9872 6.3032
0.0000 -1.9745 6.3032
Ca Nb F
1 1 2
Direct
0.0000 0.0000 0.0000
0.5000 0.5000 0.5000
0.3834 0.3834 0.3834
0.6166 0.6166 0.6166
```

Formation energy without anion corrections = -1990 meV/atom
Mass density = 4.4 g/cm3
M_tot = 0.00 μB per formula unit

=====

> Number 1 is which compound?

AlCu